This record from Alexandria describes crystalline HoSnPd4 at its relaxed geometry. The functional is PBE.

Results
* total moment: 0.000 μB/f.u.
* crystal system: cubic
* energy relative to the elements: -353 kJ/mol of formula units

Lattice parameters (Å, degrees): 5.3825 5.3825 5.3825 60.00 60.00 60.00
With the nearest neighbours (Å) after each atom.
Element x y z (fractional)
1 Sn 0.0000 0.0000 0.0000  12 Pd 3.16, 4 Ho 3.30
2 Pd 0.6251 0.6251 0.6251  6 Pd 2.69
3 Pd 0.1247 0.6251 0.6251  6 Pd 2.69
4 Pd 0.6251 0.1247 0.6251  6 Pd 2.69
5 Pd 0.6251 0.6251 0.1247  6 Pd 2.69
6 Ho 0.2500 0.2500 0.2500  12 Pd 3.16, 4 Sn 3.30